Entry from the Alexandria database: crystalline AlIrSe2 at its relaxed geometry (PBE).

Computed properties:
Space group: Pm, No. 6
Density (Mg/m³): 6.84
D(E_F) (states/eV/cell): 1.625
E_form (uncorrected) (eV per formula unit): -1.12
V (Å³/cell): 91.6

Unit cell a=3.185 b=4.046 c=7.111 alpha=89.44 beta=90.00 gamma=90.00
Atoms (fractional coordinates):
Ir (0.500, 0.975, 0.673)
Al (0.000, 0.504, 0.568)
Se (0.000, 0.787, 0.910)
Se (0.500, 0.234, 0.349)